1.
A plane-wave DFT calculation with PBE was carried out for Ca2In2B after structural relaxation.

abc: 4.825 4.825 13.684
angles: 90.00 90.00 90.00
Sites, in units of the cell vectors:
Ca: 0.000 0.500 0.250
Ca: 0.000 0.500 0.750
Ca: 0.500 0.000 0.250
Ca: 0.500 0.000 0.750
In: 0.000 0.000 0.097
In: 0.000 0.000 0.903
In: 0.500 0.500 0.403
In: 0.500 0.500 0.597
B: 0.000 0.000 0.500
B: 0.500 0.500 0.000

V ... 31.860 A^3/atom
Formation energy ... 954.2 meV per atom
Uncorrected energy ... -2.277 eV/atom

***

2.
A plane-wave DFT calculation with PBE was carried out for Y3InAg2 after structural relaxation.

abc: 3.632 3.632 11.400
angles: 90.00 90.00 90.00
Sites, in units of the cell vectors:
Y: 0.000 0.000 0.000
Y: 0.000 0.000 0.323
Y: 0.000 0.000 0.677
In: 0.500 0.500 0.500
Ag: 0.500 0.500 0.163
Ag: 0.500 0.500 0.837

V ... 25.068 A^3/atom
Formation energy ... -393.3 meV per atom
Uncorrected energy ... -5.032 eV/atom

***

Q: Number 2 is which compound?
A: Y3InAg2